[1]
A plane-wave DFT calculation with PBE-GGA was carried out for a geometry-optimized TiBe2Ir2 structure.

Results
D(E_F)	0.010	states/eV/atom
total moment	0.0000	μB/atom
energy above the lowest structure with this stoichiometry	117	meV per atom
mass density	11.88	g/cm3

a b c (Å): 3.076 3.076 6.997
angles (deg): 77.30 77.30 90.00
Atoms (fractional coordinates):
1 Be 0.750 0.250 0.500
2 Be 0.250 0.750 0.500
3 Ir 0.387 0.387 0.227
4 Ir 0.613 0.613 0.773
5 Ti 0.000 0.000 0.000

---

[2]
A plane-wave DFT calculation with PBE-GGA was carried out for a geometry-optimized Ti2BeIr structure.

Results
DFT total energy	-0.5579	Ry/atom
D(E_F)	0.826	states/eV/atom
total moment	0.0000	μB/atom
mass density	8.81	g/cm3

a b c (Å): 3.080 3.080 5.903
angles (deg): 90.00 90.00 90.00
Atoms (fractional coordinates):
1 Be 0.500 0.500 0.000
2 Ir 0.500 0.500 0.500
3 Ti 0.000 0.000 0.763
4 Ti 0.000 0.000 0.237

---

[3]
A plane-wave DFT calculation with PBE-GGA was carried out for a geometry-optimized Ti3BeIr4 structure.

Results
DFT total energy	-0.6377	Ry/atom
D(E_F)	0.560	states/eV/atom
total moment	0.0000	μB/atom
mass density	13.55	g/cm3

a b c (Å): 2.938 2.938 13.084
angles (deg): 90.00 90.00 90.00
Atoms (fractional coordinates):
1 Be 0.500 0.500 0.000
2 Ir 0.000 0.000 0.894
3 Ir 0.000 0.000 0.106
4 Ir 0.000 0.000 0.362
5 Ir 0.000 0.000 0.638
6 Ti 0.500 0.500 0.231
7 Ti 0.500 0.500 0.500
8 Ti 0.500 0.500 0.769

---

[4]
A plane-wave DFT calculation with PBE-GGA was carried out for a geometry-optimized Ti2BeIr2 structure.

Results
DFT total energy	-0.5781	Ry/atom
D(E_F)	0.998	states/eV/atom
total moment	0.0000	μB/atom
mass density	10.48	g/cm3

a b c (Å): 7.229 7.229 2.966
angles (deg): 90.00 90.00 90.00
Atoms (fractional coordinates):
1 Be 0.000 0.000 0.000
2 Be 0.500 0.500 0.000
3 Ir 0.359 0.859 0.000
4 Ir 0.859 0.641 0.000
5 Ir 0.641 0.141 0.000
6 Ir 0.141 0.359 0.000
7 Ti 0.161 0.661 0.500
8 Ti 0.661 0.839 0.500
9 Ti 0.839 0.339 0.500
10 Ti 0.339 0.161 0.500

---

[5]
A plane-wave DFT calculation with PBE-GGA was carried out for a geometry-optimized TiBe9Ir2 structure.

Results
D(E_F)	0.346	states/eV/atom
total moment	0.0273	μB/atom
energy above the lowest structure with this stoichiometry	4	meV per atom
mass density	7.48	g/cm3

a b c (Å): 4.351 4.351 7.393
angles (deg): 72.88 72.88 60.00
Each line ends with the local moment (μB).
Atoms (fractional coordinates):
1 Ti 0.000 0.000 0.000  0.26
2 Be 0.667 0.667 0.998  0.01
3 Be 0.333 0.333 0.002  0.01
4 Be 0.500 0.500 0.500  0.00
5 Be 0.412 0.412 0.256  0.00
6 Be 0.920 0.412 0.256  0.00
7 Be 0.412 0.920 0.256  0.00
8 Be 0.588 0.588 0.744  0.00
9 Be 0.588 0.080 0.744  0.00
10 Be 0.080 0.588 0.744  0.00
11 Ir 0.864 0.864 0.409  0.00
12 Ir 0.136 0.136 0.591  0.00

---

[6]
A plane-wave DFT calculation with PBE-GGA was carried out for a geometry-optimized Ti3Be8Ir structure.

Results
DFT total energy	-0.4111	Ry/atom
D(E_F)	0.451	states/eV/atom
total moment	0.2115	μB/atom
mass density	5.37	g/cm3

a b c (Å): 4.457 4.457 7.766
angles (deg): 73.33 73.33 60.00
Each line ends with the local moment (μB).
Atoms (fractional coordinates):
1 Ti 0.376 0.376 0.873  0.91
2 Ti 0.999 0.999 0.003  0.81
3 Ti 0.501 0.501 0.497  0.15
4 Be 0.935 0.436 0.192  0.01
5 Be 0.441 0.939 0.682  0.01
6 Be 0.436 0.436 0.192  0.01
7 Be 0.939 0.939 0.682  0.01
8 Be 0.188 0.188 0.436  0.02
9 Be 0.687 0.687 0.940  -0.02
10 Be 0.436 0.935 0.192  0.01
11 Be 0.939 0.441 0.682  0.01
12 Ir 0.875 0.875 0.375  0.04

---

[7]
A plane-wave DFT calculation with PBE-GGA was carried out for a geometry-optimized TiBeIr2 structure.

Results
DFT total energy	-0.5974	Ry/atom
D(E_F)	0.354	states/eV/atom
total moment	0.0000	μB/atom
mass density	14.02	g/cm3

a b c (Å): 2.970 2.970 5.930
angles (deg): 90.00 90.00 90.00
Atoms (fractional coordinates):
1 Be 0.500 0.500 0.000
2 Ir 0.000 0.000 0.770
3 Ir 0.000 0.000 0.230
4 Ti 0.500 0.500 0.500

---

[8]
A plane-wave DFT calculation with PBE-GGA was carried out for a geometry-optimized TiBeIr2 structure.

Results
DFT total energy	-0.5448	Ry/atom
D(E_F)	0.815	states/eV/atom
total moment	0.0000	μB/atom
mass density	12.06	g/cm3

a b c (Å): 3.903 3.903 8.441
angles (deg): 76.63 76.63 90.00
Atoms (fractional coordinates):
1 Be 0.500 0.500 0.000
2 Be 0.250 0.750 0.500
3 Ir 0.587 0.125 0.250
4 Ir 0.163 0.625 0.250
5 Ir 0.375 0.413 0.750
6 Ir 0.875 0.837 0.750
7 Ti 0.000 0.000 0.000
8 Ti 0.750 0.250 0.500

---

[9]
A plane-wave DFT calculation with PBE-GGA was carried out for a geometry-optimized Ti4BeIr structure.

Results
DFT total energy	-0.5456	Ry/atom
D(E_F)	1.080	states/eV/atom
total moment	0.0000	μB/atom
mass density	6.33	g/cm3

a b c (Å): 4.159 4.159 5.958
angles (deg): 89.99 90.00 90.00
Atoms (fractional coordinates):
1 Ti 0.501 0.997 0.258
2 Ti 0.501 0.997 0.738
3 Ti 0.001 0.497 0.738
4 Ti 0.001 0.497 0.258
5 Be 0.001 0.997 0.498
6 Ir 0.501 0.497 0.998

---

[10]
A plane-wave DFT calculation with PBE-GGA was carried out for a geometry-optimized TiBe4Ir5 structure.

Results
DFT total energy	-0.5390	Ry/atom
D(E_F)	0.710	states/eV/atom
total moment	0.0000	μB/atom
mass density	14.57	g/cm3

a b c (Å): 2.876 2.876 14.393
angles (deg): 90.00 90.00 90.00
Atoms (fractional coordinates):
1 Ti 0.000 0.000 0.000
2 Be 0.000 0.000 0.216
3 Be 0.000 0.000 0.404
4 Be 0.000 0.000 0.596
5 Be 0.000 0.000 0.784
6 Ir 0.500 0.500 0.114
7 Ir 0.500 0.500 0.307
8 Ir 0.500 0.500 0.500
9 Ir 0.500 0.500 0.693
10 Ir 0.500 0.500 0.886

---

[11]
A plane-wave DFT calculation with PBE-GGA was carried out for a geometry-optimized Ti2BeIr structure.

Results
DFT total energy	-0.5580	Ry/atom
D(E_F)	0.754	states/eV/atom
total moment	0.0000	μB/atom
mass density	8.72	g/cm3

a b c (Å): 3.376 4.092 4.092
angles (deg): 90.00 90.00 90.00
Atoms (fractional coordinates):
1 Be 0.500 0.500 0.500
2 Ir 0.500 0.000 0.000
3 Ti 0.000 0.000 0.500
4 Ti 0.000 0.500 0.000

---

[12]
A plane-wave DFT calculation with PBE-GGA was carried out for a geometry-optimized Ti3BeIr structure.

Results
D(E_F)	1.998	states/eV/atom
total moment	0.1496	μB/atom
energy above the lowest structure with this stoichiometry	378	meV per atom
mass density	5.41	g/cm3

a b c (Å): 4.730 4.730 4.730
angles (deg): 90.00 90.00 90.00
Each line ends with the local moment (μB).
Atoms (fractional coordinates):
1 Be 0.500 0.500 0.500  -0.01
2 Ir 0.000 0.000 0.000  0.00
3 Ti 0.000 0.500 0.000  0.16
4 Ti 0.000 0.000 0.500  0.10
5 Ti 0.500 0.000 0.000  0.34

---

Question: Which of these has the highest mass density?
Answer: TiBe4Ir5

---

Question: Among the records above, which one has the highest total moment?
Answer: Ti3Be8Ir

---

Question: Which formula does entry 6 have?
Answer: Ti3Be8Ir